A relaxed DySc2Cu crystal, computed with PBE-GGA.

Values from the calculation:
For the calculated total energy, the calculation gives -5.42 eV/atom. The value obtained for the size of the total moment is 0.00 μB/f.u. The calculation puts the energy of formation at -31 kJ/mol of formula units. The energy above the lowest structure with this stoichiometry is 30 meV per atom.

```
DySc2Cu
1.0
3.3113 0.0000 0.0000
0.0000 3.3113 0.0000
0.0000 0.0000 8.2620
Dy Sc Cu
1 2 1
Direct
0.0000 0.0000 0.0000
0.5000 0.5000 0.3075
0.5000 0.5000 0.6925
0.0000 0.0000 0.5000
```